Record 1
# Mg2ScAu

A relaxed Mg2ScAu crystal (PBEsol, Alexandria via LeMat-Bulk).

Cell: 4.737 4.737 4.737 Å, 119.94 119.94 90.10°
Positions (direct):
Mg1 0.000 0.000 0.000
Mg2 0.750 0.250 0.500
Sc1 0.500 0.500 0.000
Au1 0.250 0.750 0.500

Computed properties:
- DOS(E_F): 2.3 states/eV per cell
- DFT formation energy: -0.441 eV per atom



Record 2
# Mg2ScAu

A relaxed Mg2ScAu crystal (PBEsol, Alexandria via LeMat-Bulk).

Cell: 4.100 4.100 4.611 Å, 90.00 90.00 90.00°
Positions (direct):
Mg1 0.000 0.500 0.000
Mg2 0.500 0.000 0.000
Sc1 0.000 0.000 0.500
Au1 0.500 0.500 0.500

Computed properties:
- DOS(E_F): 2.3 states/eV per cell
- DFT formation energy: -0.392 eV per atom



Record 3
# MgSc2Au

A relaxed MgSc2Au crystal (PBEsol, Alexandria via LeMat-Bulk).

Cell: 3.467 3.467 6.781 Å, 90.00 90.00 90.00°
Positions (direct):
Mg1 0.000 0.000 0.000
Sc1 0.500 0.500 0.267
Sc2 0.500 0.500 0.733
Au1 0.000 0.000 0.500

Computed properties:
- DOS(E_F): 3.5 states/eV per cell
- DFT formation energy: -0.444 eV per atom



Record 4
# Mg2ScAu

A relaxed Mg2ScAu crystal (PBEsol, Alexandria via LeMat-Bulk).

Cell: 3.244 3.244 7.646 Å, 90.00 90.00 90.00°
Positions (direct):
Mg1 0.000 0.000 0.210
Mg2 0.000 0.000 0.790
Sc1 0.500 0.500 0.500
Au1 0.500 0.500 0.000

Computed properties:
- DOS(E_F): 3.3 states/eV per cell
- DFT formation energy: -0.304 eV per atom



Record 5
# MgSc2Au

A relaxed MgSc2Au crystal (PBEsol, Alexandria via LeMat-Bulk).

Cell: 4.779 4.779 4.779 Å, 60.00 60.00 60.00°
Positions (direct):
Mg1 0.000 0.000 0.000
Sc1 0.500 0.500 0.500
Sc2 0.750 0.750 0.750
Au1 0.250 0.250 0.250

Computed properties:
- DOS(E_F): 4.2 states/eV per cell
- DFT formation energy: -0.289 eV per atom



Record 6
# Mg2ScAu

A relaxed Mg2ScAu crystal (PBEsol, Alexandria via LeMat-Bulk).

Cell: 3.434 3.434 6.816 Å, 90.00 90.00 90.00°
Positions (direct):
Mg1 0.000 0.000 0.000
Mg2 0.500 0.500 0.266
Sc1 0.000 0.000 0.552
Au1 0.500 0.500 0.765

Computed properties:
- DOS(E_F): 1.9 states/eV per cell
- DFT formation energy: -0.405 eV per atom



Record 7
# MgSc2Au

A relaxed MgSc2Au crystal (PBEsol, Alexandria via LeMat-Bulk).

Cell: 3.460 3.460 6.821 Å, 90.00 90.00 90.00°
Positions (direct):
Mg1 0.000 0.000 0.000
Sc1 0.000 0.000 0.557
Sc2 0.500 0.500 0.274
Au1 0.500 0.500 0.779

Computed properties:
- DOS(E_F): 3.4 states/eV per cell
- DFT formation energy: -0.377 eV per atom



Record 8
# Mg2ScZnAu

A relaxed Mg2ScZnAu crystal (PBEsol, Alexandria via LeMat-Bulk).

Cell: 4.754 4.754 4.983 Å, 90.00 90.00 90.00°
Positions (direct):
Mg1 0.000 0.500 0.000
Mg2 0.500 0.000 0.000
Sc1 0.000 0.000 0.500
Zn1 0.000 0.000 0.000
Au1 0.500 0.500 0.500

Computed properties:
- DOS(E_F): 3.4 states/eV per cell
- DFT formation energy: 0.200 eV per atom



Record 9
# MgAu2Se

A relaxed MgAu2Se crystal (PBEsol, Alexandria via LeMat-Bulk).

Cell: 5.534 5.534 5.534 Å, 138.89 138.89 59.54°
Positions (direct):
Mg1 0.000 0.000 0.000
Au1 0.250 0.750 0.500
Au2 0.750 0.250 0.500
Se1 0.500 0.500 0.000

Computed properties:
- Energy relative to the lowest polymorph listed for this composition: 0.0 kJ/mol of formula units
- DOS(E_F): 0.7 states/eV per cell



Record 10
# MgAuSe2

A relaxed MgAuSe2 crystal (PBEsol, Alexandria via LeMat-Bulk).

Cell: 3.843 3.843 5.400 Å, 90.00 90.00 90.00°
Positions (direct):
Mg1 0.000 0.000 0.000
Au1 0.500 0.500 0.500
Se1 0.000 0.000 0.500
Se2 0.500 0.500 0.000

Computed properties:
- Final energy: -3.9407 eV/atom
- DOS(E_F): 1.0 states/eV per cell



Record 11
# MgAuSe4

A relaxed MgAuSe4 crystal (PBEsol, Alexandria via LeMat-Bulk).

Cell: 5.636 5.636 5.636 Å, 60.00 60.00 60.00°
Positions (direct):
Mg1 0.000 0.000 0.000
Au1 0.250 0.250 0.250
Se1 0.128 0.624 0.624
Se2 0.624 0.128 0.624
Se3 0.624 0.624 0.128
Se4 0.624 0.624 0.624

Computed properties:
- Final energy: -3.1402 eV/atom
- DOS(E_F): 4.8 states/eV per cell



Record 12
# MgAuSe2

A relaxed MgAuSe2 crystal (PBEsol, Alexandria via LeMat-Bulk).

Cell: 4.218 3.887 5.265 Å, 90.00 106.91 90.00°
Positions (direct):
Mg1 0.000 0.000 0.000
Au1 0.500 0.000 0.500
Se1 0.254 0.500 0.745
Se2 0.746 0.500 0.255

Computed properties:
- Final energy: -3.6061 eV/atom
- DOS(E_F): 1.4 states/eV per cell



Record 13
# MgAu2Se

A relaxed MgAu2Se crystal (PBEsol, Alexandria via LeMat-Bulk).

Cell: 6.130 6.130 6.130 Å, 38.54 38.54 38.54°
Positions (direct):
Mg1 0.000 0.000 0.000
Au1 0.248 0.248 0.248
Au2 0.502 0.502 0.502
Se1 0.748 0.748 0.748

Computed properties:
- Energy relative to the lowest polymorph listed for this composition: 46.4 kJ/mol of formula units
- DOS(E_F): 1.4 states/eV per cell



Record 14
# MgAuSe

A relaxed MgAuSe crystal (PBEsol, Alexandria via LeMat-Bulk).

Cell: 4.044 4.044 4.284 Å, 90.00 90.00 120.00°
Positions (direct):
Mg1 0.000 0.000 0.000
Au1 0.667 0.333 0.338
Se1 0.333 0.667 0.673

Computed properties:
- Final energy: -3.5430 eV/atom
- DOS(E_F): 1.1 states/eV per cell



Record 15
# Mg4SiAu

A relaxed Mg4SiAu crystal (PBEsol, Alexandria via LeMat-Bulk).

Cell: 5.512 5.512 5.512 Å, 60.00 60.00 60.00°
Positions (direct):
Mg1 0.125 0.125 0.125
Mg2 0.125 0.125 0.625
Mg3 0.125 0.625 0.125
Mg4 0.625 0.125 0.125
Si1 0.500 0.500 0.500
Au1 0.750 0.750 0.750

Computed properties:
- Final energy: -2.5378 eV/atom
- DOS(E_F): 2.6 states/eV per cell